1.
# Sr3DyIn12 (PBE, relaxed)
# * formation enthalpy at 0 K: -322 meV per atom
# * D(E_F): 10.4 states/eV/cell
# * total magnetization: 0.00 μB per atom
# * DFT total energy: -47.7 eV per cell
# * crystal system: tetragonal
data_Sr3DyIn12
_chemical_formula_sum 'Sr3 Dy1 In12'
_cell_length_a 4.824
_cell_length_b 4.824
_cell_length_c 19.064
_cell_angle_alpha 90.00
_cell_angle_beta 90.00
_cell_angle_gamma 90.00
_symmetry_space_group_name_H-M 'P 4/m m m'
_symmetry_Int_Tables_number 123
_symmetry_space_group_name_Hall '-P 4 2'
loop_
_atom_site_label
_atom_site_type_symbol
_atom_site_fract_x
_atom_site_fract_y
_atom_site_fract_z
Sr1 Sr 0.000 0.000 0.000
Sr2 Sr 0.000 0.000 0.256
Dy1 Dy 0.000 0.000 0.500
In1 In 0.000 0.500 0.127
In2 In 0.000 0.500 0.382
In3 In 0.500 0.500 0.000
In4 In 0.500 0.500 0.253
In5 In 0.500 0.500 0.500


2.
# SrDyIn (PBE, relaxed)
# * formation enthalpy at 0 K: -250 meV per atom
# * D(E_F): 9.9 states/eV/cell
# * total magnetization: 0.17 μB per atom
# * polymorph energy (0 for the lowest one): 0.053 eV per atom
# * DFT total energy: -39.1 eV per cell
# * crystal system: tetragonal
data_SrDyIn
_chemical_formula_sum 'Sr4 Dy4 In4'
_cell_length_a 3.918
_cell_length_b 3.918
_cell_length_c 27.799
_cell_angle_alpha 90.00
_cell_angle_beta 90.00
_cell_angle_gamma 90.00
_symmetry_space_group_name_H-M 'I 4/m m m'
_symmetry_Int_Tables_number 139
_symmetry_space_group_name_Hall '-I 4 2'
loop_
_atom_site_label
_atom_site_type_symbol
_atom_site_fract_x
_atom_site_fract_y
_atom_site_fract_z
Sr1 Sr 0.000 0.000 0.073
Dy1 Dy 0.000 0.000 0.211
In1 In 0.000 0.000 0.348


3.
# SrDyIn2 (PBE, relaxed)
# * formation enthalpy at 0 K: -244 meV per atom
# * D(E_F): 11.0 states/eV/cell
# * total magnetization: 0.00 μB per atom
# * DFT total energy: -38.2 eV per cell
# * crystal system: trigonal
data_SrDyIn2
_chemical_formula_sum 'Sr3 Dy3 In6'
_cell_length_a 3.8317
_cell_length_b 3.8317
_cell_length_c 30.3158
_cell_angle_alpha 90.00
_cell_angle_beta 90.00
_cell_angle_gamma 120.00
_symmetry_space_group_name_H-M 'R -3 m'
_symmetry_Int_Tables_number 166
_symmetry_space_group_name_Hall '-R 3 2"'
loop_
_atom_site_label
_atom_site_type_symbol
_atom_site_fract_x
_atom_site_fract_y
_atom_site_fract_z
Sr1 Sr 0.0000 0.0000 0.0000
Dy1 Dy 0.0000 0.0000 0.5000
In1 In 0.0000 0.0000 0.2455


4.
# SrDyIn (PBE, relaxed)
# * formation enthalpy at 0 K: -212 meV per atom
# * D(E_F): 6.8 states/eV/cell
# * total magnetization: 0.00 μB per atom
# * polymorph energy (0 for the lowest one): 0.091 eV per atom
# * DFT total energy: -19.3 eV per cell
# * crystal system: tetragonal
data_SrDyIn
_chemical_formula_sum 'Sr2 Dy2 In2'
_cell_length_a 3.873
_cell_length_b 3.873
_cell_length_c 13.746
_cell_angle_alpha 90.00
_cell_angle_beta 90.00
_cell_angle_gamma 90.00
_symmetry_space_group_name_H-M 'I 4 m m'
_symmetry_Int_Tables_number 107
_symmetry_space_group_name_Hall 'I 4 -2'
loop_
_atom_site_label
_atom_site_type_symbol
_atom_site_fract_x
_atom_site_fract_y
_atom_site_fract_z
Sr1 Sr 0.000 0.000 0.000
Dy1 Dy 0.000 0.000 0.284
In1 In 0.000 0.000 0.665


Question: total magnetization of number 3 (SrDyIn2)?
Answer: 0.00 μB per atom